No. 1
The following is a DFT calculation (GGA-PBE) of a geometry-optimized Rb2PuMn2Se4 structure.

abc: 4.2712 8.1912 8.1568
angles: 108.63 105.18 90.00
Last column: magnetic moment on the atom in μB.
Fractional coordinates of all 9 atoms:
Se: 0.2011 0.1711 0.4022  0.04
Mn: 0.6808 0.9876 0.3616  3.86
Rb: 0.1307 0.5516 0.2615  0.01
Rb: 0.8693 0.4484 0.7385  0.01
Se: 0.7989 0.8289 0.5978  0.04
Se: 0.4760 0.2284 0.9520  -0.03
Pu: 0.0000 0.0000 0.0000  5.32
Mn: 0.3192 0.0124 0.6384  3.86
Se: 0.5240 0.7716 0.0480  -0.03

Values from the calculation:
Formation energy from raw total energies, eV/atom: -0.955
SG: C2/m (12)

=====

No. 2
The following is a DFT calculation (GGA-PBE) of a geometry-optimized Hf2MnMoPb structure.

abc: 5.2671 4.6150 5.2671
angles: 90.00 90.00 90.00
Last column: magnetic moment on the atom in μB.
Fractional coordinates of all 5 atoms:
Mn: 0.0000 0.5000 0.0000  0.14
Mo: 0.5000 0.5000 0.5000  -1.75
Pb: 0.0000 0.0000 0.0000  0.00
Hf: 0.5000 0.0000 0.0000  0.17
Hf: 0.0000 0.0000 0.5000  0.12

Values from the calculation:
SG: P4/mmm (123)
Formation energy, eV/atom: 2.074

=====

No. 3
The following is a DFT calculation (GGA-PBE) of a geometry-optimized PaHg2Bi structure.

abc: 5.3339 5.3339 5.3339
angles: 60.00 60.00 60.00
Last column: magnetic moment on the atom in μB.
Fractional coordinates of all 4 atoms:
Hg: 0.2500 0.2500 0.2500  0.01
Bi: 0.5000 0.5000 0.5000  -0.03
Hg: 0.7500 0.7500 0.7500  0.01
Pa: 0.0000 0.0000 0.0000  1.27

Values from the calculation:
Relative energy among the computed polymorphs, eV per atom: 0.223
SG: Fm-3m (225)
Formation energy, eV/atom: 0.146

=====

No. 4
The following is a DFT calculation (GGA-PBE) of a geometry-optimized BeBiSeN2 structure.

abc: 3.9539 3.9539 4.7437
angles: 90.00 90.00 90.00
Last column: magnetic moment on the atom in μB.
Fractional coordinates of all 5 atoms:
N: 0.0000 0.5000 0.0000  0.82
N: 0.5000 0.0000 0.0000  0.82
Bi: 0.5000 0.5000 0.5000  -0.12
Se: 0.0000 0.0000 0.5000  0.22
Be: 0.0000 0.0000 0.0000  -0.02

Values from the calculation:
Relative energy among the computed polymorphs, eV per atom: 0.000
Formation energy from raw total energies, eV/atom: 1.139
SG: P4/mmm (123)

=====

No. 5
The following is a DFT calculation (GGA-PBE) of a geometry-optimized Co2SbPt structure.

abc: 2.9691 3.6007 5.5967
angles: 90.00 90.00 90.00
Last column: magnetic moment on the atom in μB.
Fractional coordinates of all 4 atoms:
Sb: 0.5000 0.5000 0.7681  -0.02
Pt: 0.0000 0.0000 0.4795  0.08
Co: 0.5000 0.5000 0.2260  1.67
Co: 0.0000 0.0000 0.0264  1.34

Values from the calculation:
Formation energy from raw total energies, eV/atom: 0.114
SG: Pmm2 (25)

=====

No. 6
The following is a DFT calculation (GGA-PBE) of a geometry-optimized LaPm2Dy2Tm structure.

abc: 5.6916 7.0489 9.8650
angles: 90.00 90.00 90.00
Fractional coordinates of all 12 atoms:
Pm: 0.5000 0.7579 0.6538
La: 0.5000 0.2575 0.6822
La: 0.5000 0.7575 0.3178
Tm: 0.0000 0.0077 0.4997
Pm: 0.0000 0.2573 0.8205
Pm: 0.0000 0.7573 0.1795
Tm: 0.0000 0.5077 0.5003
Dy: 0.5000 0.0076 0.0001
Dy: 0.5000 0.5076 0.9999
Dy: 0.0000 0.2575 0.1546
Pm: 0.5000 0.2579 0.3462
Dy: 0.0000 0.7575 0.8454

Values from the calculation:
SG: Pmma (51)
Formation energy, eV/atom: 0.064

=====

Record-wise total DFT energy (no corrections) values, in eV/atom: -6.348 -6.649 -3.349 -4.410 -5.980 -4.620
Record-wise M_tot values, in μB per atom: 1.57 0.29 0.36 0.49 0.74 0.00
Record-wise ρ values, in kg/m³: 5371 9274 13018 7277 12064 7744